# Mn3Fe2O8

Crystalline Mn3Fe2O8 at its relaxed geometry (PBE with a Hubbard U, Alexandria).

Output
The calculation puts the energy at -91.6 eV per cell.

Cell lengths 5.0036, 5.8514, 5.8514 Å; angles 59.63, 78.13, 78.13 degrees
Closest atoms and distances in Å follow each position.
Sites, in units of the cell vectors:
1 Fe 0.1191 0.2865 0.2865  5 O 2.01-2.18
2 Mn 0.5000 0.2551 0.7449  6 O 1.90-1.97
3 O 0.1261 0.3391 0.8886  2 Mn 1.95-1.96, 1 Fe 2.12
4 O 0.8739 0.6609 0.1114  2 Mn 1.95-1.96, 1 Fe 2.12
5 O 0.8739 0.1114 0.6609  2 Mn 1.95-1.96, 1 Fe 2.12
6 Fe 0.8809 0.7135 0.7135  5 O 2.01-2.18
7 O 0.4047 0.3962 0.3962  2 Mn 1.90, 1 Fe 2.01
8 O 0.5953 0.6038 0.6038  2 Mn 1.90, 1 Fe 2.01
9 O 0.6219 0.0994 0.0994  3 Mn 1.92-1.97
10 O 0.1261 0.8886 0.3391  2 Mn 1.95-1.96, 1 Fe 2.12
11 Mn 0.5000 0.7449 0.2551  6 O 1.90-1.97
12 Mn 0.0000 0.0000 0.0000  6 O 1.92-1.95
13 O 0.3781 0.9006 0.9006  3 Mn 1.92-1.97